1.
! PrHoTm2S6, optimized geometry, DFT PBE-GGA; values from VASP
! - Total DFT energy (no corrections): -6.351 eV/atom
&SYSTEM
  ibrav = 0, nat = 10, ntyp = 4
/
ATOMIC_SPECIES
Pr 140.91 Pr.upf
Ho 164.93 Ho.upf
Tm 168.93 Tm.upf
S 32.06 S.upf
CELL_PARAMETERS angstrom
3.470 2.003 6.144
-3.470 2.003 6.144
0.000 -4.006 6.144
ATOMIC_POSITIONS crystal
Pr 0.000 0.000 0.000
Ho 0.492 0.492 0.492
Tm 0.291 0.291 0.291
Tm 0.795 0.795 0.795
S 0.083 0.668 0.419
S 0.190 0.580 0.898
S 0.419 0.083 0.668
S 0.580 0.898 0.190
S 0.668 0.419 0.083
S 0.898 0.190 0.580


2.
! Pr2HoTmS6, optimized geometry, DFT PBE-GGA; values from VASP
! - Total DFT energy (no corrections): -6.371 eV/atom
&SYSTEM
  ibrav = 0, nat = 10, ntyp = 4
/
ATOMIC_SPECIES
Pr 140.91 Pr.upf
Ho 164.93 Ho.upf
Tm 168.93 Tm.upf
S 32.06 S.upf
CELL_PARAMETERS angstrom
3.529 2.038 6.164
-3.529 2.038 6.164
0.000 -4.075 6.164
ATOMIC_POSITIONS crystal
Pr 0.000 0.000 0.000
Pr 0.500 0.500 0.500
Ho 0.207 0.207 0.207
Tm 0.707 0.707 0.707
S 0.080 0.423 0.829
S 0.330 0.920 0.583
S 0.423 0.829 0.080
S 0.583 0.330 0.920
S 0.829 0.080 0.423
S 0.920 0.583 0.330


Ordered energy relative to the elements, uncorrected results: -2044 -2034; unit meV/atom.